1.
Density functional theory data (PBE) for a relaxed structure of Pa2BeIn.

Computed properties:
As for the magnetic moment: 0.00 Bohr magnetons per cell. For the calculated total energy, the calculation gives -24.77 eV per cell. Its density of states at the Fermi level is 6.62 states/eV/cell.

Geometry as POSCAR:
```
Pa2BeIn
1.0
-2.302 1.948 -0.891
-2.986 -0.984 0.015
-2.765 3.508 9.266
Pa Be In
2 1 1
Direct
0.261 0.261 0.216
0.739 0.739 0.784
0.000 0.000 0.000
0.500 0.500 0.500
```



2.
Density functional theory data (PBE) for a relaxed structure of LaPPt2.

Computed properties:
As for the magnetic moment: 0.00 Bohr magnetons per cell. For the calculated total energy, the calculation gives -26.30 eV per cell. Its density of states at the Fermi level is 2.13 states/eV/cell.

Geometry as POSCAR:
```
LaPPt2
1.0
3.988 0.000 0.000
0.000 4.192 -0.043
0.000 0.057 5.315
Pt La P
2 1 1
Direct
0.000 0.750 0.001
0.000 0.750 0.499
0.500 0.250 0.250
0.500 0.750 0.750
```



3.
Density functional theory data (PBE) for a relaxed structure of YMg2Os.

Computed properties:
Its energy above the most stable polymorph in this dataset is 8.06 kcal/mol of atoms. As for the magnetic moment: 0.00 Bohr magnetons per cell. For the calculated total energy, the calculation gives -19.55 eV per cell. Its density of states at the Fermi level is 2.26 states/eV/cell.

Geometry as POSCAR:
```
YMg2Os
1.0
10.329 0.003 0.002
9.885 2.997 0.002
9.885 1.467 2.613
Y Os Mg
1 1 2
Direct
0.750 0.750 0.750
0.250 0.250 0.250
0.513 0.513 0.513
0.987 0.987 0.987
```



4.
Density functional theory data (PBE) for a relaxed structure of MoAuCl2.

Computed properties:
Its energy above the most stable polymorph in this dataset is 8.21 kcal/mol of atoms. The calculation puts the raw formation energy at 0.16 eV per atom. As for the magnetic moment: 0.46 Bohr magnetons per cell. For the calculated total energy, the calculation gives -17.15 eV per cell. Its density of states at the Fermi level is 4.18 states/eV/cell.

Geometry as POSCAR:
```
MoAuCl2
1.0
3.132 -0.001 0.000
-1.627 2.676 0.000
0.000 0.000 9.694
Au Cl Mo
1 2 1
Direct
0.500 0.500 0.736
0.500 0.500 0.308
0.000 0.000 0.955
0.000 0.000 0.501
```